Record 1
The following is a DFT calculation (PBEsol) of a geometry-optimized NaMoCl2 structure.

abc: 7.5710 7.5710 7.5710
angles: 139.06 139.06 59.29
Last column: nearest neighbours and their distance in Å.
Element x y z (fractional)
Na 0.0000 0.0000 0.0000  4 Cl 2.69
Na 0.7500 0.2500 0.5000  4 Cl 2.69
Mo 0.2500 0.7500 0.5000  4 Cl 2.33
Mo 0.5000 0.5000 0.0000  4 Cl 2.33
Cl 0.1900 0.6250 0.0650  2 Mo 2.33
Cl 0.3750 0.4400 0.5650  2 Mo 2.33
Cl 0.5600 0.1250 0.9350  2 Mo 2.33
Cl 0.8750 0.8100 0.4350  2 Mo 2.33

Computed properties:
- D(E_F): 5.01 states/eV per cell
- Total DFT energy (no corrections): -4.367 eV per atom
- SG: No. 122
- Mass density: 3.4 g cm⁻³

Record 2
The following is a DFT calculation (PBEsol) of a geometry-optimized Fe12Pt17 structure.

abc: 8.0205 8.0205 8.0205
angles: 109.47 109.47 109.47
Last column: nearest neighbours and their distance in Å.
Element x y z (fractional)
Fe 0.0000 0.1916 0.3685  3 Fe 2.32-2.51, 1 Pt 2.54
Fe 0.0000 0.3685 0.1916  3 Fe 2.32-2.51, 1 Pt 2.54
Fe 0.1768 0.8084 0.8084  3 Fe 2.32-2.51, 1 Pt 2.54
Fe 0.1916 0.0000 0.3685  3 Fe 2.32-2.51, 1 Pt 2.54
Fe 0.1916 0.3685 0.0000  3 Fe 2.32-2.51, 1 Pt 2.54
Fe 0.3685 0.0000 0.1916  3 Fe 2.32-2.51, 1 Pt 2.54
Fe 0.3685 0.1916 0.0000  3 Fe 2.32-2.51, 1 Pt 2.54
Fe 0.6315 0.6315 0.8232  3 Fe 2.32-2.51, 1 Pt 2.54
Fe 0.6315 0.8232 0.6315  3 Fe 2.32-2.51, 1 Pt 2.54
Fe 0.8084 0.1768 0.8084  3 Fe 2.32-2.51, 1 Pt 2.54
Fe 0.8084 0.8084 0.1768  3 Fe 2.32-2.51, 1 Pt 2.54
Fe 0.8232 0.6315 0.6315  3 Fe 2.32-2.51, 1 Pt 2.54
Pt 0.0000 0.0000 0.0000  4 Pt 2.66, 12 Fe 2.84
Pt 0.0000 0.0000 0.6680  4 Pt 2.66-2.71, 6 Fe 2.68
Pt 0.0000 0.3981 0.6877  5 Fe 2.54-2.76, 7 Pt 2.71-2.80
Pt 0.0000 0.6680 0.0000  4 Pt 2.66-2.71, 6 Fe 2.68
Pt 0.0000 0.6877 0.3981  5 Fe 2.54-2.76, 7 Pt 2.71-2.80
Pt 0.2896 0.6019 0.6019  5 Fe 2.54-2.76, 7 Pt 2.71-2.80
Pt 0.3123 0.3123 0.7104  5 Fe 2.54-2.76, 7 Pt 2.71-2.80
Pt 0.3123 0.7104 0.3123  5 Fe 2.54-2.76, 7 Pt 2.71-2.80
Pt 0.3320 0.3320 0.3320  4 Pt 2.66-2.71, 6 Fe 2.68
Pt 0.3981 0.0000 0.6877  5 Fe 2.54-2.76, 7 Pt 2.71-2.80
Pt 0.3981 0.6877 0.0000  5 Fe 2.54-2.76, 7 Pt 2.71-2.80
Pt 0.6019 0.2896 0.6019  5 Fe 2.54-2.76, 7 Pt 2.71-2.80
Pt 0.6019 0.6019 0.2896  5 Fe 2.54-2.76, 7 Pt 2.71-2.80
Pt 0.6680 0.0000 0.0000  4 Pt 2.66-2.71, 6 Fe 2.68
Pt 0.6877 0.0000 0.3981  5 Fe 2.54-2.76, 7 Pt 2.71-2.80
Pt 0.6877 0.3981 0.0000  5 Fe 2.54-2.76, 7 Pt 2.71-2.80
Pt 0.7104 0.3123 0.3123  5 Fe 2.54-2.76, 7 Pt 2.71-2.80

Computed properties:
- D(E_F): 25.04 states/eV per cell
- Total DFT energy (no corrections): -7.877 eV per atom
- SG: No. 217
- Formation energy from the elements: -241 kJ/mol of formula units
- Mass density: 16.7 g cm⁻³

Record 3
The following is a DFT calculation (PBEsol) of a geometry-optimized ScAlSe2 structure.

abc: 6.1712 6.1712 6.1712
angles: 109.58 109.58 109.26
Last column: nearest neighbours and their distance in Å.
Element x y z (fractional)
Sc 0.0000 0.0000 0.0000  4 Se 2.61
Sc 0.7500 0.2500 0.5000  4 Se 2.61
Al 0.2500 0.7500 0.5000  4 Se 2.73
Al 0.5000 0.5000 0.0000  4 Se 2.73
Se 0.1129 0.1250 0.4879  2 Sc 2.61, 2 Al 2.73
Se 0.3750 0.8871 0.0121  2 Sc 2.61, 2 Al 2.73
Se 0.6371 0.6250 0.5121  2 Sc 2.61, 2 Al 2.73
Se 0.8750 0.3629 0.9879  2 Sc 2.61, 2 Al 2.73

Computed properties:
- D(E_F): 1.05 states/eV per cell
- Total DFT energy (no corrections): -5.344 eV per atom
- SG: No. 122
- Mass density: 4.2 g cm⁻³

Record 4
The following is a DFT calculation (PBEsol) of a geometry-optimized Sc2TiCuTc structure.

abc: 4.6670 4.6670 4.3134
angles: 90.00 90.00 90.00
Last column: nearest neighbours and their distance in Å.
Element x y z (fractional)
Sc 0.0000 0.5000 0.0000  2 Ti 2.33
Sc 0.5000 0.0000 0.0000  2 Ti 2.33
Ti 0.0000 0.0000 0.0000  2 Cu 2.16, 4 Sc 2.33
Cu 0.0000 0.0000 0.5000  2 Ti 2.16
Tc 0.5000 0.5000 0.5000  8 Sc 3.18, 4 Cu 3.30

Computed properties:
- D(E_F): 6.06 states/eV per cell
- Total DFT energy (no corrections): -6.155 eV per atom
- SG: No. 123
- Formation energy from the elements: 614 kJ/mol of formula units
- Mass density: 5.3 g cm⁻³